A relaxed MgBRh2Pb crystal. Source: Alexandria via LeMat-Bulk, functional GGA-PBE.

Cell: 4.211 4.211 4.510 Å, 90.00 90.00 90.00°
Element x y z (fractional)
Mg: 0.000 0.000 0.000
B: 0.000 0.000 0.500
Rh: 0.000 0.500 0.500
Rh: 0.500 0.000 0.500
Pb: 0.500 0.500 0.000

Space group: P4/mmm (123)
Calculated formation energy in eV per atom: -0.116

A relaxed MgSc2BPb crystal. Source: Alexandria via LeMat-Bulk, functional GGA-PBE.

Cell: 4.713 4.713 4.556 Å, 90.00 90.00 90.00°
Element x y z (fractional)
Mg: 0.000 0.000 0.000
Sc: 0.000 0.500 0.500
Sc: 0.500 0.000 0.500
B: 0.000 0.000 0.500
Pb: 0.500 0.500 0.000

Space group: P4/mmm (123)
Calculated formation energy in eV per atom: -0.298

A relaxed MgBPd4 crystal. Source: Alexandria via LeMat-Bulk, functional GGA-PBE.

Cell: 6.173 6.173 4.934 Å, 100.23 100.23 107.58°
Element x y z (fractional)
Mg: 0.116 0.884 0.750
Mg: 0.884 0.116 0.250
B: 0.495 0.505 0.750
B: 0.505 0.495 0.250
Pd: 0.114 0.317 0.865
Pd: 0.233 0.548 0.442
Pd: 0.317 0.114 0.365
Pd: 0.452 0.767 0.058
Pd: 0.548 0.233 0.942
Pd: 0.683 0.886 0.635
Pd: 0.767 0.452 0.558
Pd: 0.886 0.683 0.135

Space group: C2/c (15)
Calculated formation energy in eV per atom: -0.339

A relaxed MgB2Pd7 crystal. Source: Alexandria via LeMat-Bulk, functional GGA-PBE.

Cell: 6.419 6.419 4.065 Å, 90.00 90.00 112.27°
Element x y z (fractional)
Mg: 0.000 0.000 0.000
B: 0.285 0.715 0.500
B: 0.715 0.285 0.500
Pd: 0.056 0.320 0.500
Pd: 0.320 0.056 0.500
Pd: 0.323 0.677 0.000
Pd: 0.500 0.500 0.500
Pd: 0.677 0.323 0.000
Pd: 0.680 0.944 0.500
Pd: 0.944 0.680 0.500

Space group: Cmmm (65)
Calculated formation energy in eV per atom: -0.173

A relaxed Mg6BPd12 crystal. Source: Alexandria via LeMat-Bulk, functional GGA-PBE.

Cell: 6.778 6.778 6.778 Å, 96.05 96.05 96.05°
Element x y z (fractional)
Mg: 0.143 0.341 0.738
Mg: 0.262 0.857 0.659
Mg: 0.341 0.738 0.143
Mg: 0.659 0.262 0.857
Mg: 0.738 0.143 0.341
Mg: 0.857 0.659 0.262
B: 0.000 0.000 0.000
Pd: 0.002 0.687 0.912
Pd: 0.088 0.998 0.313
Pd: 0.204 0.520 0.423
Pd: 0.313 0.088 0.998
Pd: 0.423 0.204 0.520
Pd: 0.480 0.577 0.796
Pd: 0.520 0.423 0.204
Pd: 0.577 0.796 0.480
Pd: 0.687 0.912 0.002
Pd: 0.796 0.480 0.577
Pd: 0.912 0.002 0.687
Pd: 0.998 0.313 0.088

Space group: R-3 (148)
Calculated formation energy in eV per atom: -0.453

A relaxed MgB2Pd6 crystal. Source: Alexandria via LeMat-Bulk, functional GGA-PBE.

Cell: 5.660 5.660 7.589 Å, 125.84 125.84 44.03°
Element x y z (fractional)
Mg: 0.000 0.000 0.000
B: 0.215 0.215 0.645
B: 0.785 0.785 0.355
Pd: 0.026 0.026 0.691
Pd: 0.304 0.304 0.438
Pd: 0.353 0.353 0.998
Pd: 0.647 0.647 0.002
Pd: 0.696 0.696 0.562
Pd: 0.974 0.974 0.309

Space group: C2/m (12)
Calculated formation energy in eV per atom: -0.178

A relaxed Mg3BPd crystal. Source: Alexandria via LeMat-Bulk, functional GGA-PBE.

Cell: 4.904 4.904 4.904 Å, 90.00 90.00 90.00°
Element x y z (fractional)
Mg: 0.000 0.000 0.500
Mg: 0.000 0.500 0.000
Mg: 0.500 0.000 0.000
B: 0.500 0.500 0.500
Pd: 0.000 0.000 0.000

Space group: Pm-3m (221)
Relative energy among the computed polymorphs in meV/atom: 627
Calculated formation energy in eV per atom: 0.730

A relaxed MgB3Pd crystal. Source: Alexandria via LeMat-Bulk, functional GGA-PBE.

Cell: 4.214 4.214 4.214 Å, 90.00 90.00 90.00°
Element x y z (fractional)
Mg: 0.000 0.000 0.000
B: 0.000 0.000 0.500
B: 0.000 0.500 0.000
B: 0.500 0.000 0.000
Pd: 0.500 0.500 0.500

Space group: Pm-3m (221)
Relative energy among the computed polymorphs in meV/atom: 1034
Calculated formation energy in eV per atom: 2.304

A relaxed Mg3BPd crystal. Source: Alexandria via LeMat-Bulk, functional GGA-PBE.

Cell: 4.460 4.460 4.460 Å, 90.00 90.00 90.00°
Element x y z (fractional)
Mg: 0.000 0.000 0.500
Mg: 0.000 0.500 0.000
Mg: 0.500 0.000 0.000
B: 0.000 0.000 0.000
Pd: 0.500 0.500 0.500

Space group: Pm-3m (221)
Relative energy among the computed polymorphs in meV/atom: 0
Calculated formation energy in eV per atom: 0.102

A relaxed MgB3Pd crystal. Source: Alexandria via LeMat-Bulk, functional GGA-PBE.

Cell: 4.126 4.126 4.126 Å, 90.00 90.00 90.00°
Element x y z (fractional)
Mg: 0.000 0.000 0.000
B: 0.000 0.500 0.500
B: 0.500 0.000 0.500
B: 0.500 0.500 0.000
Pd: 0.500 0.500 0.500

Space group: Pm-3m (221)
Relative energy among the computed polymorphs in meV/atom: 0
Calculated formation energy in eV per atom: 1.270

A relaxed Mg2BPd crystal. Source: Alexandria via LeMat-Bulk, functional GGA-PBE.

Cell: 6.741 6.741 6.741 Å, 95.29 95.29 144.66°
Element x y z (fractional)
Mg: 0.375 0.127 0.252
Mg: 0.873 0.125 0.248
Mg: 0.875 0.123 0.748
Mg: 0.877 0.625 0.752
B: 0.000 0.000 0.000
B: 0.750 0.250 0.500
Pd: 0.250 0.750 0.500
Pd: 0.500 0.500 0.000

Space group: I-42d (122)
Calculated formation energy in eV per atom: 0.085

A relaxed MgBPdPt2 crystal. Source: Alexandria via LeMat-Bulk, functional GGA-PBE.

Cell: 4.174 4.174 4.275 Å, 90.00 90.00 90.00°
Element x y z (fractional)
Mg: 0.000 0.000 0.000
B: 0.500 0.500 0.500
Pd: 0.500 0.500 0.000
Pt: 0.000 0.500 0.500
Pt: 0.500 0.000 0.500

Space group: P4/mmm (123)
Calculated formation energy in eV per atom: -0.518

A relaxed Mg2BPd4Pt2 crystal. Source: Alexandria via LeMat-Bulk, functional GGA-PBE.

Cell: 5.737 5.737 5.737 Å, 119.34 119.34 91.14°
Element x y z (fractional)
Mg: 0.250 0.750 0.500
Mg: 0.750 0.250 0.500
B: 0.000 0.000 0.000
Pd: 0.257 0.257 0.513
Pd: 0.257 0.743 0.000
Pd: 0.743 0.257 0.000
Pd: 0.743 0.743 0.487
Pt: 0.257 0.257 0.000
Pt: 0.743 0.743 0.000

Space group: I4/mmm (139)
Calculated formation energy in eV per atom: -0.644

A relaxed Mg2B2PdRh5 crystal. Source: Alexandria via LeMat-Bulk, functional GGA-PBE.

Cell: 9.628 9.628 2.905 Å, 90.00 90.00 90.00°
Element x y z (fractional)
Mg: 0.178 0.322 0.000
Mg: 0.322 0.822 0.000
Mg: 0.678 0.178 0.000
Mg: 0.822 0.678 0.000
B: 0.124 0.624 0.000
B: 0.376 0.124 0.000
B: 0.624 0.876 0.000
B: 0.876 0.376 0.000
Pd: 0.000 0.000 0.000
Pd: 0.500 0.500 0.000
Rh: 0.000 0.500 0.500
Rh: 0.071 0.776 0.500
Rh: 0.224 0.071 0.500
Rh: 0.276 0.571 0.500
Rh: 0.429 0.276 0.500
Rh: 0.500 0.000 0.500
Rh: 0.571 0.724 0.500
Rh: 0.724 0.429 0.500
Rh: 0.776 0.929 0.500
Rh: 0.929 0.224 0.500

Space group: P4/mbm (127)
Calculated formation energy in eV per atom: -0.440

A relaxed MgBPd2Rh crystal. Source: Alexandria via LeMat-Bulk, functional GGA-PBE.

Cell: 4.181 4.181 4.107 Å, 90.00 90.00 90.00°
Element x y z (fractional)
Mg: 0.000 0.000 0.000
B: 0.500 0.500 0.500
Pd: 0.000 0.500 0.500
Pd: 0.500 0.000 0.500
Rh: 0.500 0.500 0.000

Space group: P4/mmm (123)
Calculated formation energy in eV per atom: -0.504

A relaxed MgB2PdS crystal. Source: Alexandria via LeMat-Bulk, functional GGA-PBE.

Cell: 4.264 4.264 4.890 Å, 90.00 90.00 90.00°
Element x y z (fractional)
Mg: 0.000 0.000 0.000
B: 0.000 0.500 0.000
B: 0.500 0.000 0.000
Pd: 0.000 0.000 0.500
S: 0.500 0.500 0.500

Space group: P4/mmm (123)
Formation energy from raw total energies in meV per atom: 1803

A relaxed MgBTe2Pd crystal. Source: Alexandria via LeMat-Bulk, functional GGA-PBE.

Cell: 5.369 5.369 4.298 Å, 90.00 90.00 90.00°
Element x y z (fractional)
Mg: 0.000 0.000 0.000
B: 0.000 0.000 0.500
Te: 0.000 0.500 0.000
Te: 0.500 0.000 0.000
Pd: 0.500 0.500 0.500

Space group: P4/mmm (123)
Formation energy from raw total energies in meV per atom: 1016

A relaxed MgTiBPd2 crystal. Source: Alexandria via LeMat-Bulk, functional GGA-PBE.

Cell: 4.529 4.529 4.179 Å, 90.00 90.00 90.00°
Element x y z (fractional)
Mg: 0.000 0.000 0.000
Ti: 0.500 0.500 0.500
B: 0.000 0.000 0.500
Pd: 0.000 0.500 0.000
Pd: 0.500 0.000 0.000

Space group: P4/mmm (123)
Calculated formation energy in eV per atom: 0.985

A relaxed Mg2ZrBPd crystal. Source: Alexandria via LeMat-Bulk, functional GGA-PBE.

Cell: 5.505 5.505 4.101 Å, 90.00 90.00 90.00°
Element x y z (fractional)
Mg: 0.000 0.500 0.000
Mg: 0.500 0.000 0.000
Zr: 0.000 0.000 0.000
B: 0.000 0.000 0.500
Pd: 0.500 0.500 0.500

Space group: P4/mmm (123)
Calculated formation energy in eV per atom: 1.319

A relaxed PmMgB crystal. Source: Alexandria via LeMat-Bulk, functional GGA-PBE.

Cell: 4.415 4.415 4.415 Å, 60.00 60.00 60.00°
Element x y z (fractional)
Pm: 0.000 0.000 0.000
Mg: 0.500 0.500 0.500
B: 0.250 0.250 0.250

Space group: F-43m (216)
Relative energy among the computed polymorphs in meV/atom: 132
Calculated formation energy in eV per atom: 0.010

A relaxed Pm3MgB crystal. Source: Alexandria via LeMat-Bulk, functional GGA-PBE.

Cell: 5.235 5.235 5.235 Å, 90.00 90.00 90.00°
Element x y z (fractional)
Pm: 0.000 0.000 0.500
Pm: 0.000 0.500 0.000
Pm: 0.500 0.000 0.000
Mg: 0.500 0.500 0.500
B: 0.000 0.000 0.000

Space group: Pm-3m (221)
Calculated formation energy in eV per atom: 0.051

A relaxed PmMgB14 crystal. Source: Alexandria via LeMat-Bulk, functional GGA-PBE.

Cell: 7.418 7.418 7.418 Å, 132.83 87.16 111.69°
Element x y z (fractional)
Pm: 0.389 0.139 0.250
Pm: 0.611 0.861 0.750
Mg: 0.000 0.000 0.500
Mg: 0.000 0.500 0.000
B: 0.004 0.872 0.132
B: 0.029 0.205 0.328
B: 0.029 0.701 0.824
B: 0.086 0.669 0.417
B: 0.196 0.530 0.666
B: 0.220 0.500 0.400
B: 0.220 0.820 0.720
B: 0.240 0.872 0.368
B: 0.248 0.331 0.917
B: 0.364 0.530 0.834
B: 0.377 0.205 0.676
B: 0.377 0.701 0.172
B: 0.400 0.180 0.900
B: 0.400 0.500 0.220
B: 0.600 0.500 0.780
B: 0.600 0.820 0.100
B: 0.623 0.299 0.828
B: 0.623 0.795 0.324
B: 0.636 0.470 0.166
B: 0.752 0.669 0.083
B: 0.760 0.128 0.632
B: 0.780 0.180 0.280
B: 0.780 0.500 0.600
B: 0.804 0.470 0.334
B: 0.914 0.331 0.583
B: 0.971 0.299 0.176
B: 0.971 0.795 0.672
B: 0.996 0.128 0.868

Space group: Imma (74)
Calculated formation energy in eV per atom: -0.211

A relaxed PmMgB crystal. Source: Alexandria via LeMat-Bulk, functional GGA-PBE.

Cell: 3.164 5.825 6.975 Å, 82.13 76.92 89.77°
Element x y z (fractional)
Pm: 0.085 0.277 0.337
Pm: 0.915 0.723 0.663
Mg: 0.335 0.196 0.828
Mg: 0.665 0.804 0.172
B: 0.259 0.542 0.980
B: 0.741 0.458 0.020

Space group: P-1 (2)
Relative energy among the computed polymorphs in meV/atom: 0
Calculated formation energy in eV per atom: -0.122

A relaxed Pm2MgB3Pt12 crystal. Source: Alexandria via LeMat-Bulk, functional GGA-PBE.

Cell: 7.322 7.322 7.322 Å, 66.39 66.39 66.39°
Element x y z (fractional)
Pm: 0.104 0.104 0.104
Pm: 0.896 0.896 0.896
Mg: 0.500 0.500 0.500
B: 0.000 0.500 0.500
B: 0.500 0.000 0.500
B: 0.500 0.500 0.000
Pt: 0.114 0.628 0.628
Pt: 0.177 0.177 0.590
Pt: 0.177 0.590 0.177
Pt: 0.372 0.372 0.886
Pt: 0.372 0.886 0.372
Pt: 0.410 0.823 0.823
Pt: 0.590 0.177 0.177
Pt: 0.628 0.114 0.628
Pt: 0.628 0.628 0.114
Pt: 0.823 0.410 0.823
Pt: 0.823 0.823 0.410
Pt: 0.886 0.372 0.372

Space group: R-3m (166)
Calculated formation energy in eV per atom: -0.455

no.,D(E_F) (states/eV per atom),total magnetization (μB/cell)
1,0.64,0.00
2,0.60,0.00
3,0.32,0.00
4,0.32,0.00
5,0.26,0.00
6,0.22,0.00
7,0.67,0.00
8,0.68,0.00
9,0.28,0.00
10,0.72,0.00
11,0.57,0.00
12,0.56,0.00
13,0.52,0.00
14,0.79,0.00
15,0.18,0.00
16,0.55,0.00
17,0.93,0.00
18,1.08,0.00
19,0.53,0.00
20,0.25,0.00
21,1.51,0.00
22,0.12,0.00
23,0.73,0.00
24,0.39,0.00